Here is crystalline Tm2Ni4B4Ir at its relaxed geometry from OQMD via LeMat-Bulk. Energies are from GGA-PBE.

Its electronic total energy is -6.579 eV/atom. The calculation puts the total moment at 0.02 Bohr magnetons per cell.

It has space group Fmmm (No. 69), with a = 4.9713 Å, b = 9.1991 Å, c = 11.6140 Å, α = 90.00°, β = 90.00° and γ = 90.00°. The distinct sites, in fractional coordinates, are Tm at (0.0000, 0.0000, 0.1442), Ni at (0.2500, 0.2500, 0.0000), Ni at (0.2500, 0.2500, 0.2500), B at (0.0000, 0.1630, 0.3675) and Ir at (0.0000, 0.0000, 0.5000).

Here is crystalline Y2AlCoSi at its relaxed geometry from OQMD via LeMat-Bulk. Energies are from GGA-PBE.

Its electronic total energy is -6.380 eV/atom. The calculation puts the total moment at 0.01 Bohr magnetons per cell.

It has space group Imm2 (No. 44), with a = 4.0900 Å, b = 8.6846 Å, c = 5.4988 Å, α = 90.00°, β = 90.00° and γ = 90.00°. The distinct sites, in fractional coordinates, are Y at (0.0000, 0.2021, 0.0000), Al at (0.0000, 0.0000, 0.5161), Co at (0.0000, 0.5000, 0.2811) and Si at (0.0000, 0.5000, 0.7220).

Here is crystalline AgSbAsO at its relaxed geometry from OQMD via LeMat-Bulk. Energies are from GGA-PBE.

The distance to the lowest polymorph of the same formula is 0.0937 eV/atom.

It has space group Pmc2_1 (No. 26), with a = 3.8341 Å, b = 6.4929 Å, c = 6.9717 Å, α = 90.00°, β = 90.00° and γ = 90.00°. The distinct sites, in fractional coordinates, are Ag at (0.0000, 0.2185, 0.0000), Sb at (0.5000, 0.3864, 0.5055), As at (0.0000, 0.1540, 0.3585) and O at (0.5000, 0.3701, 0.8192).

Here is crystalline Zr2AlPt3 at its relaxed geometry from OQMD via LeMat-Bulk. Energies are from GGA-PBE.

Its electronic total energy is -7.488 eV/atom. The calculation puts the total moment at 1.40 Bohr magnetons per cell.

It has space group P6_3/mmc (No. 194), with a = 5.4016 Å, b = 5.4016 Å, c = 8.2352 Å, α = 90.00°, β = 90.00° and γ = 120.00°. The distinct sites, in fractional coordinates, are Zr at (0.3333, 0.6667, 0.0570), Al at (0.0000, 0.0000, 0.0000) and Pt at (0.1691, 0.3382, 0.7500).

Here is crystalline HfNbAg2Ge4 at its relaxed geometry from OQMD via LeMat-Bulk. Energies are from GGA-PBE.

Its electronic total energy is -5.740 eV/atom. The calculation puts the total moment at 0.01 Bohr magnetons per cell.

It has space group P4mm (No. 99), with a = 3.8303 Å, b = 3.8303 Å, c = 9.6133 Å, α = 90.00°, β = 90.00° and γ = 90.00°. The distinct sites, in fractional coordinates, are Hf at (0.0000, 0.0000, 0.0000), Nb at (0.5000, 0.5000, 0.5632), Ag at (0.0000, 0.5000, 0.2813), Ge at (0.0000, 0.0000, 0.4898), Ge at (0.0000, 0.5000, 0.7754) and Ge at (0.5000, 0.5000, 0.0699).

Here is crystalline Tb3GaCo3 at its relaxed geometry from OQMD via LeMat-Bulk. Energies are from GGA-PBE.

Its electronic total energy is -5.801 eV/atom. The calculation puts the total moment at 2.03 Bohr magnetons per cell.

It has space group Cmcm (No. 63), with a = 4.0912 Å, b = 10.0099 Å, c = 12.8996 Å, α = 90.00°, β = 90.00° and γ = 90.00°. The distinct sites, in fractional coordinates, are Tb at (0.0000, 0.0063, 0.2500), Tb at (0.0000, 0.2936, 0.1040), Ga at (0.0000, 0.0000, 0.0000), Co at (0.0000, 0.2938, 0.7500) and Co at (0.0000, 0.4168, 0.5941).